Here is a relaxed CoCu2As crystal from Alexandria via LeMat-Bulk. Energies are from PBE.

POSCAR file:
```
CoCu2As
1.0
-3.0071 0.9710 -3.0786
-2.5961 -2.1565 -2.8413
-3.8254 -0.3780 1.6440
Cu As Co
2 1 1
direct
0.0042 0.0042 0.9609 Cu
0.7548 0.7548 0.7902 Cu
0.5082 0.5082 0.4323 As
0.2327 0.2327 0.3166 Co
```

Theoretical density in g/cm3: 8.50
M_tot in μB/f.u.: 0.0
Formation energy from the elements in eV/atom: 0.096
Space-group type: Cm